# YTaIr

Crystalline YTaIr at its relaxed geometry (PBE, Alexandria).

Calculated values
Space-group type: Cm (8)
E above lowest polymorph in meV per atom: 282.2
Total moment in μB/f.u.: 0.00
Formation energy in meV/atom: -295.3

Cell: 6.323 4.385 10.819 Å, 90.00 122.82 90.00°
Sites, in units of the cell vectors:
Y (0.387, 0.000, 0.845)
Y (0.387, 0.500, 0.345)
Y (0.158, 0.000, 0.456)
Y (0.158, 0.500, 0.956)
Ir (0.752, 0.000, 0.477)
Ir (0.752, 0.500, 0.977)
Ir (0.440, 0.000, 0.172)
Ir (0.440, 0.500, 0.672)
Ta (0.983, 0.000, 0.114)
Ta (0.983, 0.500, 0.614)
Ta (0.744, 0.000, 0.709)
Ta (0.744, 0.500, 0.209)